This record from OQMD via LeMat-Bulk describes a relaxed Co2AgAuO4 crystal. The functional is PBE with a Hubbard U.

Unit cell a=2.8890 b=2.8890 c=12.2528 alpha=90.00 beta=90.00 gamma=120.00
Closest atoms and distances in Å follow each position.
Sites, in units of the cell vectors:
O 0.0000 0.0000 0.1725  3 Co 1.92, 1 Ag 2.11
O 0.3333 0.6667 0.3282  3 Co 1.92, 1 Au 2.10
O 0.0000 0.0000 0.8275  3 Co 1.92, 1 Ag 2.11
O 0.3333 0.6667 0.6718  3 Co 1.92, 1 Au 2.10
Au 0.3333 0.6667 0.5000  2 O 2.10
Ag 0.0000 0.0000 0.0000  2 O 2.11
Co 0.6667 0.3333 0.7497  6 O 1.92
Co 0.6667 0.3333 0.2503  6 O 1.92

Computed properties:
E_tot: -41.64 eV/f.u.